Entry 1:
## Nb2GaSi2Ru5 (PBE-GGA)

Data for crystalline Nb2GaSi2Ru5 at its relaxed geometry.

Geometry as extended XYZ:
```
20
Lattice="9.724 0.000 0.000 0.000 9.724 0.000 0.000 0.000 3.099" Properties=species:S:1:pos:R:3 pbc="T T T"
Nb 1.696 3.166 0.000
Nb 3.166 8.028 0.000
Nb 6.558 1.696 0.000
Nb 8.028 6.558 0.000
Ga 0.000 0.000 0.000
Ga 4.862 4.862 0.000
Si 1.258 6.120 0.000
Si 3.605 1.258 0.000
Si 6.120 8.467 0.000
Si 8.467 3.605 0.000
Ru 0.000 4.862 1.550
Ru 0.607 7.734 1.550
Ru 1.991 0.607 1.550
Ru 2.872 5.469 1.550
Ru 4.255 2.872 1.550
Ru 4.862 0.000 1.550
Ru 5.469 6.853 1.550
Ru 6.853 4.255 1.550
Ru 7.734 9.117 1.550
Ru 9.117 1.991 1.550
```

## Properties
energy relative to the elements, uncorrected: -478 meV per atom
crystal system: tetragonal

Entry 2:
## LaSm2Sb (PBE-GGA)

Data for crystalline LaSm2Sb at its relaxed geometry.

Geometry as extended XYZ:
```
4
Lattice="2.056 1.187 9.766 -2.056 1.187 9.766 0.000 -2.374 9.766" Properties=species:S:1:pos:R:3 pbc="T T T"
La 0.000 0.000 0.000
Sm 0.000 0.000 6.842
Sm 0.000 0.000 12.720
Sb 0.000 0.000 24.436
```

## Properties
energy relative to the elements, uncorrected: -378 meV per atom
crystal system: trigonal
relative energy among the computed polymorphs: 205 meV per atom

Entry 3:
## RbRh3Br (PBE-GGA)

Data for crystalline RbRh3Br at its relaxed geometry.

Geometry as extended XYZ:
```
5
Lattice="4.794 0.000 0.000 0.000 4.794 0.000 0.000 0.000 4.794" Properties=species:S:1:pos:R:3 pbc="T T T"
Rb 0.000 0.000 0.000
Rh 0.000 2.397 2.397
Rh 2.397 0.000 2.397
Rh 2.397 2.397 0.000
Br 2.397 2.397 2.397
```

## Properties
energy relative to the elements, uncorrected: 885 meV per atom
crystal system: cubic
relative energy among the computed polymorphs: 0 meV per atom

Entry 4:
## DyPuRu4 (PBE-GGA)

Data for crystalline DyPuRu4 at its relaxed geometry.

Geometry as extended XYZ:
```
6
Lattice="0.000 3.767 3.767 3.767 0.000 3.767 3.767 3.767 0.000" Properties=species:S:1:pos:R:3 pbc="T T T"
Dy 0.000 0.000 0.000
Pu 5.651 5.651 5.651
Ru 2.826 2.826 2.826
Ru 4.709 4.709 2.826
Ru 4.709 2.826 4.709
Ru 2.826 4.709 4.709
```

## Properties
crystal system: cubic
E: -9.553 eV per atom

Entry 5:
## V3IrRh6 (PBE-GGA)

Data for crystalline V3IrRh6 at its relaxed geometry.

Geometry as extended XYZ:
```
20
Lattice="7.234 0.000 0.000 0.000 4.328 0.000 -3.123 0.000 8.884" Properties=species:S:1:pos:R:3 pbc="T T T"
V -0.096 1.082 2.077
V 2.077 1.082 0.273
V 1.088 3.246 3.272
V 3.023 1.082 5.612
V 2.034 3.246 8.611
V 4.207 3.246 6.806
Ir -1.049 3.246 5.045
Ir 5.160 1.082 3.839
Rh -1.612 1.082 6.523
Rh 0.552 3.246 0.639
Rh -0.554 3.246 7.702
Rh 0.505 1.082 4.714
Rh 2.518 1.082 2.923
Rh 3.091 3.246 1.458
Rh 1.020 1.082 7.426
Rh 1.593 3.246 5.961
Rh 3.606 3.246 4.169
Rh 4.666 1.082 1.181
Rh 3.559 1.082 8.245
Rh 5.723 3.246 2.361
```

## Properties
crystal system: monoclinic
relative energy among the computed polymorphs: 0 meV per atom

Entry 6:
## CsRb3Cd (PBE-GGA)

Data for crystalline CsRb3Cd at its relaxed geometry.

Geometry as extended XYZ:
```
20
Lattice="11.925 -6.927 0.000 11.925 6.927 0.000 -1.615 0.000 9.117" Properties=species:S:1:pos:R:3 pbc="T T T"
Cs 10.714 5.975 6.838
Cs 11.521 1.811 2.279
Cs 10.714 -1.811 6.838
Cs 11.521 -5.975 2.279
Rb 3.066 2.319 5.307
Rb 6.520 4.454 8.384
Rb 7.275 0.042 3.631
Rb 3.874 -2.319 0.748
Rb 6.467 -0.042 8.189
Rb 14.907 4.454 5.291
Rb 7.328 -4.454 3.826
Rb 15.768 0.042 0.928
Rb 18.361 2.319 8.368
Rb 14.960 -0.042 5.486
Rb 15.715 -4.454 0.732
Rb 19.169 -2.319 3.810
Cd 9.307 2.196 6.333
Cd 12.120 2.196 7.342
Cd 10.115 -2.196 1.775
Cd 12.928 -2.196 2.783
```

## Properties
crystal system: monoclinic
relative energy among the computed polymorphs: 16 meV per atom